Record 1
This record from Alexandria via LeMat-Bulk describes a geometry-optimized YBe2TlB structure. The functional is PBE.

Calculated values
The formation energy comes out at 565 meV/atom. For the total DFT energy (no corrections), the calculation gives -20.13 eV per cell.

Cell lengths 4.077, 4.077, 5.154 Å; angles 90.00, 90.00, 90.00 degrees
Fractional coordinates of all 5 atoms:
1 Y 0.000 0.000 0.000
2 Be 0.000 0.500 0.500
3 Be 0.500 0.000 0.500
4 Tl 0.500 0.500 0.000
5 B 0.500 0.500 0.500

---

Record 2
This record from Alexandria via LeMat-Bulk describes a geometry-optimized Tm2BeB10 structure. The functional is PBE.

Calculated values
The formation energy comes out at -428 meV/atom. For the total DFT energy (no corrections), the calculation gives -170.02 eV per cell.

Cell lengths 5.506, 10.870, 4.103 Å; angles 90.00, 90.00, 90.00 degrees
Fractional coordinates of all 26 atoms:
1 Tm 0.196 0.133 0.000
2 Tm 0.304 0.633 0.000
3 Tm 0.696 0.367 0.000
4 Tm 0.804 0.867 0.000
5 Be 0.000 0.500 0.500
6 Be 0.500 0.000 0.500
7 B 0.021 0.316 0.500
8 B 0.128 0.961 0.500
9 B 0.168 0.802 0.500
10 B 0.195 0.389 0.200
11 B 0.195 0.389 0.800
12 B 0.305 0.889 0.200
13 B 0.305 0.889 0.800
14 B 0.332 0.302 0.500
15 B 0.372 0.461 0.500
16 B 0.479 0.816 0.500
17 B 0.521 0.184 0.500
18 B 0.628 0.539 0.500
19 B 0.668 0.698 0.500
20 B 0.695 0.111 0.200
21 B 0.695 0.111 0.800
22 B 0.805 0.611 0.200
23 B 0.805 0.611 0.800
24 B 0.832 0.198 0.500
25 B 0.872 0.039 0.500
26 B 0.979 0.684 0.500

---

Record 3
This record from Alexandria via LeMat-Bulk describes a geometry-optimized TmBe2B6 structure. The functional is PBE.

Calculated values
The formation energy comes out at -212 meV/atom. For the total DFT energy (no corrections), the calculation gives -53.90 eV per cell.

Cell lengths 5.309, 5.309, 5.309 Å; angles 146.58, 107.96, 81.78 degrees
Fractional coordinates of all 9 atoms:
1 Tm 0.000 0.000 0.000
2 Be 0.352 0.852 0.500
3 Be 0.648 0.148 0.500
4 B 0.058 0.301 0.757
5 B 0.360 0.500 0.860
6 B 0.456 0.699 0.757
7 B 0.544 0.301 0.243
8 B 0.640 0.500 0.140
9 B 0.942 0.699 0.243

---

Record 4
This record from Alexandria via LeMat-Bulk describes a geometry-optimized TmBe3B3 structure. The functional is PBE.

Calculated values
The formation energy comes out at 27 meV/atom. For the total DFT energy (no corrections), the calculation gives -70.99 eV per cell.

Cell lengths 7.630, 3.097, 7.633 Å; angles 90.00, 119.92, 90.00 degrees
Fractional coordinates of all 14 atoms:
1 Tm 0.167 0.250 0.333
2 Tm 0.833 0.750 0.667
3 Be 0.147 0.250 0.745
4 Be 0.245 0.750 0.098
5 Be 0.401 0.750 0.647
6 Be 0.599 0.250 0.353
7 Be 0.755 0.250 0.902
8 Be 0.853 0.750 0.255
9 B 0.040 0.250 0.962
10 B 0.077 0.750 0.540
11 B 0.462 0.750 0.422
12 B 0.538 0.250 0.578
13 B 0.923 0.250 0.460
14 B 0.960 0.750 0.038

---

Record 5
This record from Alexandria via LeMat-Bulk describes a geometry-optimized Tm3Be2B9 structure. The functional is PBE.

Calculated values
The formation energy comes out at -86 meV/atom. For the total DFT energy (no corrections), the calculation gives -82.17 eV per cell.

Cell lengths 6.892, 6.892, 6.892 Å; angles 153.54, 104.04, 82.08 degrees
Fractional coordinates of all 14 atoms:
1 Tm 0.000 0.000 0.000
2 Tm 0.303 0.303 0.000
3 Tm 0.697 0.697 0.000
4 Be 0.293 0.500 0.793
5 Be 0.707 0.500 0.207
6 B 0.021 0.338 0.682
7 B 0.120 0.856 0.265
8 B 0.344 0.662 0.682
9 B 0.409 0.144 0.265
10 B 0.500 0.000 0.500
11 B 0.591 0.856 0.735
12 B 0.656 0.338 0.318
13 B 0.880 0.144 0.735
14 B 0.979 0.662 0.318

---

Record 6
This record from Alexandria via LeMat-Bulk describes a geometry-optimized U4Be51B structure. The functional is PBE.

Calculated values
The formation energy comes out at -93 meV/atom. For the total DFT energy (no corrections), the calculation gives -247.06 eV per cell.

Cell lengths 12.430, 12.430, 12.430 Å; angles 33.58, 33.58, 33.58 degrees
Fractional coordinates of all 56 atoms:
1 U 0.125 0.125 0.125
2 U 0.375 0.375 0.375
3 U 0.625 0.625 0.625
4 U 0.875 0.875 0.875
5 Be 0.012 0.780 0.427
6 Be 0.029 0.256 0.685
7 Be 0.044 0.164 0.397
8 Be 0.071 0.489 0.719
9 Be 0.083 0.203 0.857
10 Be 0.104 0.457 0.336
11 Be 0.143 0.917 0.797
12 Be 0.164 0.397 0.044
13 Be 0.178 0.531 0.761
14 Be 0.203 0.857 0.083
15 Be 0.220 0.573 0.988
16 Be 0.239 0.822 0.469
17 Be 0.250 0.250 0.250
18 Be 0.256 0.685 0.029
19 Be 0.281 0.929 0.511
20 Be 0.294 0.646 0.414
21 Be 0.315 0.971 0.744
22 Be 0.336 0.104 0.457
23 Be 0.354 0.586 0.706
24 Be 0.397 0.044 0.164
25 Be 0.414 0.294 0.646
26 Be 0.427 0.012 0.780
27 Be 0.457 0.336 0.104
28 Be 0.469 0.239 0.822
29 Be 0.489 0.719 0.071
30 Be 0.500 0.500 0.500
31 Be 0.511 0.281 0.929
32 Be 0.531 0.761 0.178
33 Be 0.543 0.664 0.896
34 Be 0.573 0.988 0.220
35 Be 0.586 0.706 0.354
36 Be 0.603 0.956 0.836
37 Be 0.646 0.414 0.294
38 Be 0.664 0.896 0.543
39 Be 0.685 0.029 0.256
40 Be 0.706 0.354 0.586
41 Be 0.719 0.071 0.489
42 Be 0.744 0.315 0.971
43 Be 0.750 0.750 0.750
44 Be 0.761 0.178 0.531
45 Be 0.780 0.427 0.012
46 Be 0.797 0.143 0.917
47 Be 0.822 0.469 0.239
48 Be 0.836 0.603 0.956
49 Be 0.857 0.083 0.203
50 Be 0.896 0.543 0.664
51 Be 0.917 0.797 0.143
52 Be 0.929 0.511 0.281
53 Be 0.956 0.836 0.603
54 Be 0.971 0.744 0.315
55 Be 0.988 0.220 0.573
56 B 0.000 0.000 0.000

---

Copy entry 3 word for word.
This record from Alexandria via LeMat-Bulk describes a geometry-optimized TmBe2B6 structure. The functional is PBE.

Calculated values
The formation energy comes out at -212 meV/atom. For the total DFT energy (no corrections), the calculation gives -53.90 eV per cell.

Cell lengths 5.309, 5.309, 5.309 Å; angles 146.58, 107.96, 81.78 degrees
Fractional coordinates of all 9 atoms:
1 Tm 0.000 0.000 0.000
2 Be 0.352 0.852 0.500
3 Be 0.648 0.148 0.500
4 B 0.058 0.301 0.757
5 B 0.360 0.500 0.860
6 B 0.456 0.699 0.757
7 B 0.544 0.301 0.243
8 B 0.640 0.500 0.140
9 B 0.942 0.699 0.243

---

What is the total DFT energy (no corrections) in the first record? -20.13 eV per cell

---

Look up the total DFT energy (no corrections) of the third one. -53.90 eV per cell